Here is a relaxed VCu2Br crystal from Alexandria. Energies are from PBE-GGA.

Computed properties:
formation energy from raw total energies = 0.56 eV per atom
total moment = 4.26 μB per cell
offset from the most stable computed form = 0 meV per atom

a b c (Å): 7.328 7.328 5.747
angles (deg): 50.39 50.39 90.00
Element x y z (fractional)
V1 0.500 0.500 0.000
V2 0.250 0.750 0.500
Cu1 0.375 0.370 0.750
Cu2 0.120 0.625 0.250
Cu3 0.630 0.125 0.250
Cu4 0.875 0.880 0.750
Br1 0.750 0.250 0.500
Br2 0.000 0.000 0.000